No. 1
Entry from Alexandria via LeMat-Bulk: a relaxed LaTeN2F crystal (PBE).

ΔE to the lowest computed polymorph = 487 meV per atom

Cell: 4.7367 4.7367 4.4409 Å, 90.00 90.00 90.00°
Fractional positions:
La  0.0000  0.0000  0.0000
Te  0.5000  0.5000  0.5000
N  0.0000  0.5000  0.0000
N  0.5000  0.0000  0.0000
F  0.0000  0.0000  0.5000

***

No. 2
Entry from Alexandria via LeMat-Bulk: a relaxed LaTiN2F crystal (PBE).

ΔE to the lowest computed polymorph = 0 meV per atom

Cell: 4.0645 4.0645 3.9100 Å, 90.00 90.00 90.00°
Fractional positions:
La  0.0000  0.0000  0.0000
Ti  0.5000  0.5000  0.5000
N  0.0000  0.5000  0.5000
N  0.5000  0.0000  0.5000
F  0.5000  0.5000  0.0000

***

No. 3
Entry from Alexandria via LeMat-Bulk: a relaxed LaTiN2F crystal (PBE).

ΔE to the lowest computed polymorph = 1814 meV per atom

Cell: 4.5176 4.5176 4.4391 Å, 90.00 90.00 90.00°
Fractional positions:
La  0.0000  0.0000  0.0000
Ti  0.5000  0.5000  0.5000
N  0.0000  0.5000  0.0000
N  0.5000  0.0000  0.0000
F  0.0000  0.0000  0.5000